# Ba2MgCd

Ba2MgCd at its PBEsol-relaxed geometry (meta-GGA SCAN, Alexandria via LeMat-Bulk).

Results
* energy of formation: -0.78 eV per formula unit

Cell: 4.0528 5.9989 7.0387 Å, 115.22 106.73 90.00°
Closest atoms and distances in Å follow each position.
Fractional coordinates of all 4 atoms:
Mg  0.2056  0.7056  0.4111  2 Cd 2.92
Ba  0.7847  0.2847  0.5693  2 Cd 3.60, 4 Mg 3.74, 2 Ba 3.80
Ba  0.9785  0.9785  0.9569  4 Cd 3.68, 4 Ba 3.80-4.05, 4 Mg 3.87-4.06
Cd  0.5313  0.5313  0.0627  2 Mg 2.92

=====

# MnZnPt4

MnZnPt4 at its PBEsol-relaxed geometry (meta-GGA SCAN, Alexandria via LeMat-Bulk).

Results
* energy of formation: -1.49 eV per formula unit

Cell: 5.1712 5.1712 5.1712 Å, 60.00 60.00 60.00°
Closest atoms and distances in Å follow each position.
Fractional coordinates of all 6 atoms:
Pt  0.6248  0.6248  0.6248  6 Pt 2.58-2.59
Pt  0.6248  0.6248  0.1255  6 Pt 2.58-2.59
Pt  0.6248  0.1255  0.6248  6 Pt 2.58-2.59
Pt  0.1255  0.6248  0.6248  6 Pt 2.58-2.59
Mn  0.0000  0.0000  0.0000  12 Pt 3.03, 4 Zn 3.17
Zn  0.2500  0.2500  0.2500  12 Pt 3.03, 4 Mn 3.17

=====

# Ta2RuAu

Ta2RuAu at its PBEsol-relaxed geometry (meta-GGA SCAN, Alexandria via LeMat-Bulk).

Results
* energy of formation: -0.96 eV per formula unit
* distance to the lowest polymorph of the same formula: 0.062 eV per atom

Cell: 2.9163 2.9163 7.6573 Å, 90.00 90.00 90.00°
Closest atoms and distances in Å follow each position.
Fractional coordinates of all 4 atoms:
Au  0.5000  0.5000  0.0000  4 Au 2.92, 8 Ta 2.93
Ta  0.0000  0.0000  0.7290  4 Ru 2.71, 4 Ta 2.92, 4 Au 2.93
Ta  0.0000  0.0000  0.2710  4 Ru 2.71, 4 Ta 2.92, 4 Au 2.93
Ru  0.5000  0.5000  0.5000  8 Ta 2.71, 4 Ru 2.92

=====

# CoPICl2

CoPICl2 at its PBEsol-relaxed geometry (meta-GGA SCAN, Alexandria via LeMat-Bulk).

Results
* uncorrected formation energy: 1.12 eV/atom

Cell: 5.2005 5.2352 5.2352 Å, 90.00 90.00 90.00°
Closest atoms and distances in Å follow each position.
Fractional coordinates of all 5 atoms:
Co  0.5000  0.5000  0.5000  8 Cl 3.69, 4 P 3.70
Cl  0.0000  0.0000  0.5000  2 I 2.62
Cl  0.0000  0.5000  0.0000  2 I 2.62
P  0.5000  0.0000  0.0000  2 I 2.60
I  0.0000  0.0000  0.0000  2 P 2.60, 4 Cl 2.62

=====

Number 1: total magnetic moment 0.0013 μB/atom, V 146.8 Å³ per cell. Number 2: total magnetic moment 0.7268 μB/atom, V 97.8 Å³ per cell. Number 3: total magnetic moment 0.0000 μB/atom, V 65.1 Å³ per cell. Number 4: total magnetic moment 0.4390 μB/atom, V 142.5 Å³ per cell.